A relaxed structure of Te2PtN2. Source: the Alexandria database, functional PBE-GGA.

a b c (Å): 3.955 3.955 8.100
angles (deg): 90.00 90.00 90.00
Space group P4/mmm (No. 123)
One atom of each set of equivalent atoms:
Te (0.000, 0.000, 0.000) x1
Te (0.500, 0.500, 0.000) x1
Pt (0.000, 0.000, 0.500) x1
N (0.000, 0.500, 0.500) x2

Summary:
- Fermi-level density of states: 4.4 states/eV/f.u.
- Crystal system: tetragonal
- Spin magnetization: 0.95 Bohr magnetons per cell
- Volume: 127 Å³ per cell
- Energy relative to the elements, uncorrected: 1.26 eV/atom
- Energy relative to the lowest polymorph listed for this composition: 0 meV/atom

A relaxed structure of Na16CdIn12. Source: the Alexandria database, functional PBE-GGA.

a b c (Å): 11.721 16.736 10.104
angles (deg): 90.00 125.32 90.00
Space group Cm (No. 8)
One atom of each set of equivalent atoms:
Na (0.000, 0.000, 0.000) x2
Na (0.006, 0.344, 0.938) x4
Na (0.024, 0.327, 0.347) x4
Na (0.143, 0.202, 0.658) x4
Na (0.259, 0.500, 0.070) x2
Na (0.305, 0.363, 0.354) x4
Na (0.333, 0.296, 0.037) x4
Na (0.341, 0.000, 0.699) x2
Na (0.349, 0.000, 0.349) x2
Na (0.416, 0.344, 0.755) x4
Cd (0.033, 0.000, 0.644) x2
In (0.030, 0.500, 0.156) x2
In (0.071, 0.091, 0.355) x4
In (0.129, 0.408, 0.717) x4
In (0.163, 0.185, 0.162) x4
In (0.222, 0.500, 0.529) x2
In (0.254, 0.093, 0.976) x4
In (0.352, 0.184, 0.532) x4

Summary:
- Formation energy: -0.12 eV per atom
- Fermi-level density of states: 9.8 states/eV/f.u.
- Crystal system: monoclinic
- Spin magnetization: 0.00 Bohr magnetons per cell
- Volume: 1617 Å³ per cell

A relaxed structure of BeCd2Si. Source: the Alexandria database, functional PBE-GGA.

a b c (Å): 3.895 4.392 8.160
angles (deg): 90.00 90.00 90.00
Space group Cmm2 (No. 35)
One atom of each set of equivalent atoms:
Be (0.000, 0.000, 0.000) x2
Cd (0.000, 0.000, 0.456) x2
Cd (0.000, 0.500, 0.766) x2
Si (0.000, 0.500, 0.161) x2

Summary:
- Fermi-level density of states: 1.0 states/eV/f.u.
- Crystal system: orthorhombic
- Spin magnetization: 0.00 Bohr magnetons per cell
- Volume: 140 Å³ per cell
- Energy relative to the elements, uncorrected: 0.37 eV/atom
- Energy relative to the lowest polymorph listed for this composition: 87 meV/atom

A relaxed structure of AcRe4N12. Source: the Alexandria database, functional PBE-GGA.

a b c (Å): 7.836 7.836 7.836
angles (deg): 90.00 90.00 90.00
Space group Im-3m (No. 229)
One atom of each set of equivalent atoms:
Ac (0.000, 0.000, 0.000) x2
Re (0.250, 0.250, 0.250) x8
N (0.000, 0.248, 0.248) x24

Summary:
- Fermi-level density of states: 11.6 states/eV/f.u.
- Crystal system: cubic
- Spin magnetization: 0.15 Bohr magnetons per cell
- Volume: 481 Å³ per cell
- Energy relative to the elements, uncorrected: 0.50 eV/atom

A relaxed structure of AcPm2Y4. Source: the Alexandria database, functional PBE-GGA.

a b c (Å): 8.702 8.702 6.631
angles (deg): 90.00 90.00 90.00
Space group I4/mmm (No. 139)
One atom of each set of equivalent atoms:
Ac (0.000, 0.000, 0.000) x2
Pm (0.000, 0.500, 0.250) x4
Y (0.196, 0.196, 0.500) x8

Summary:
- Formation energy: 0.21 eV per atom
- Fermi-level density of states: 14.0 states/eV/f.u.
- Crystal system: tetragonal
- Spin magnetization: 0.00 Bohr magnetons per cell
- Volume: 502 Å³ per cell
- Energy relative to the lowest polymorph listed for this composition: 178 meV/atom

A relaxed structure of BeBiAs2Se. Source: the Alexandria database, functional PBE-GGA.

a b c (Å): 4.599 4.599 4.861
angles (deg): 90.00 90.00 90.00
Space group P4/mmm (No. 123)
One atom of each set of equivalent atoms:
Be (0.000, 0.000, 0.000) x1
Bi (0.500, 0.500, 0.500) x1
As (0.000, 0.500, 0.000) x2
Se (0.000, 0.000, 0.500) x1

Summary:
- Fermi-level density of states: 4.1 states/eV/f.u.
- Crystal system: tetragonal
- Spin magnetization: 0.00 Bohr magnetons per cell
- Volume: 103 Å³ per cell
- Energy relative to the elements, uncorrected: 0.31 eV/atom
- Energy relative to the lowest polymorph listed for this composition: 0 meV/atom

A relaxed structure of RbPuPt4. Source: the Alexandria database, functional PBE-GGA.

a b c (Å): 7.831 7.831 7.831
angles (deg): 90.00 90.00 90.00
Space group F-43m (No. 216)
One atom of each set of equivalent atoms:
Rb (0.000, 0.000, 0.000) x4
Pu (0.250, 0.250, 0.750) x4
Pt (0.125, 0.125, 0.375) x16

Summary:
- Formation energy: -0.38 eV per atom
- Fermi-level density of states: 17.8 states/eV/f.u.
- Crystal system: cubic
- Spin magnetization: 21.15 Bohr magnetons per cell
- Volume: 480 Å³ per cell

A relaxed structure of TlZn2Cr. Source: the Alexandria database, functional PBE-GGA.

a b c (Å): 3.204 3.474 6.713
angles (deg): 90.00 90.00 90.00
Space group Pmmm (No. 47)
One atom of each set of equivalent atoms:
Tl (0.000, 0.000, 0.000) x1
Zn (0.500, 0.500, 0.301) x2
Cr (0.000, 0.000, 0.500) x1

Summary:
- Formation energy: 0.32 eV per atom
- Fermi-level density of states: 2.0 states/eV/f.u.
- Crystal system: orthorhombic
- Spin magnetization: 3.63 Bohr magnetons per cell
- Volume: 75 Å³ per cell
- Energy relative to the lowest polymorph listed for this composition: 0 meV/atom

A relaxed structure of LiGaPt. Source: the Alexandria database, functional PBE-GGA.

a b c (Å): 4.3188 4.3188 2.8319
angles (deg): 90.00 90.00 120.00
Space group P3m1 (No. 156)
One atom of each set of equivalent atoms:
Li (0.0000, 0.0000, 0.0000) x1
Ga (0.6667, 0.3333, 0.5134) x1
Pt (0.3333, 0.6667, 0.4941) x1

Summary:
- Formation energy: -0.66 eV per atom
- Fermi-level density of states: 0.6 states/eV/f.u.
- Crystal system: trigonal
- Spin magnetization: 0.00 Bohr magnetons per cell
- Volume: 46 Å³ per cell

A relaxed structure of MgAgW2Cl. Source: the Alexandria database, functional PBE-GGA.

a b c (Å): 5.094 5.094 5.107
angles (deg): 90.00 90.00 90.00
Space group P4/mmm (No. 123)
One atom of each set of equivalent atoms:
Mg (0.000, 0.000, 0.000) x1
Ag (0.000, 0.000, 0.500) x1
W (0.000, 0.500, 0.500) x2
Cl (0.500, 0.500, 0.000) x1

Summary:
- Fermi-level density of states: 5.7 states/eV/f.u.
- Crystal system: tetragonal
- Spin magnetization: 6.45 Bohr magnetons per cell
- Volume: 133 Å³ per cell
- Energy relative to the elements, uncorrected: 2.09 eV/atom

A relaxed structure of Fe2CoAg. Source: the Alexandria database, functional PBE-GGA.

a b c (Å): 2.946 4.279 8.421
angles (deg): 90.00 90.00 90.00
Space group Imm2 (No. 44)
One atom of each set of equivalent atoms:
Fe (0.000, 0.000, 0.000) x2
Fe (0.000, 0.500, 0.260) x2
Co (0.000, 0.000, 0.532) x2
Ag (0.000, 0.500, 0.767) x2

Summary:
- Formation energy: 0.31 eV per atom
- Fermi-level density of states: 3.6 states/eV/f.u.
- Crystal system: orthorhombic
- Spin magnetization: 14.24 Bohr magnetons per cell
- Volume: 106 Å³ per cell
- Energy relative to the lowest polymorph listed for this composition: 106 meV/atom

A relaxed structure of Al2IrW2. Source: the Alexandria database, functional PBE-GGA.

a b c (Å): 3.422 3.422 13.962
angles (deg): 90.00 90.00 90.00
Space group I4/mmm (No. 139)
One atom of each set of equivalent atoms:
Al (0.000, 0.500, 0.250) x4
Ir (0.000, 0.000, 0.000) x2
W (0.000, 0.000, 0.402) x4

Summary:
- Formation energy: 0.54 eV per atom
- Fermi-level density of states: 5.0 states/eV/f.u.
- Crystal system: tetragonal
- Spin magnetization: 0.00 Bohr magnetons per cell
- Volume: 164 Å³ per cell
- Energy relative to the lowest polymorph listed for this composition: 520 meV/atom

A relaxed structure of Fe4TcCl. Source: the Alexandria database, functional PBE-GGA.

a b c (Å): 6.830 6.830 6.830
angles (deg): 90.00 90.00 90.00
Space group F-43m (No. 216)
One atom of each set of equivalent atoms:
Fe (0.125, 0.125, 0.125) x16
Tc (0.250, 0.250, 0.750) x4
Cl (0.000, 0.000, 0.500) x4

Summary:
- Fermi-level density of states: 8.4 states/eV/f.u.
- Crystal system: cubic
- Spin magnetization: 29.08 Bohr magnetons per cell
- Volume: 319 Å³ per cell
- Energy relative to the elements, uncorrected: 0.72 eV/atom

A relaxed structure of La2MnP4Rh3. Source: the Alexandria database, functional PBE-GGA.

a b c (Å): 4.198 4.198 9.552
angles (deg): 90.00 90.00 90.00
Space group P-4m2 (No. 115)
One atom of each set of equivalent atoms:
La (0.000, 0.500, 0.242) x2
Mn (0.000, 0.000, 0.500) x1
P (0.000, 0.000, 0.000) x1
P (0.000, 0.500, 0.623) x2
P (0.500, 0.500, 0.000) x1
Rh (0.000, 0.500, 0.886) x2
Rh (0.500, 0.500, 0.500) x1

Summary:
- Formation energy: -1.04 eV per atom
- Fermi-level density of states: 5.1 states/eV/f.u.
- Crystal system: tetragonal
- Spin magnetization: 0.00 Bohr magnetons per cell
- Volume: 168 Å³ per cell

A relaxed structure of Li3Ag2Hg. Source: the Alexandria database, functional PBE-GGA.

a b c (Å): 4.604 13.896 6.223
angles (deg): 90.00 90.00 90.00
Space group Cmmm (No. 65)
One atom of each set of equivalent atoms:
Li (0.000, 0.000, 0.242) x4
Li (0.000, 0.334, 0.245) x8
Ag (0.000, 0.167, 0.000) x4
Ag (0.000, 0.500, 0.000) x2
Ag (0.000, 0.500, 0.500) x2
Hg (0.000, 0.162, 0.500) x4

Summary:
- Formation energy: -0.27 eV per atom
- Fermi-level density of states: 1.4 states/eV/f.u.
- Crystal system: orthorhombic
- Spin magnetization: 0.00 Bohr magnetons per cell
- Volume: 398 Å³ per cell
- Energy relative to the lowest polymorph listed for this composition: 0 meV/atom

A relaxed structure of NdErThTl. Source: the Alexandria database, functional PBE-GGA.

a b c (Å): 7.853 7.853 7.853
angles (deg): 90.00 90.00 90.00
Space group F-43m (No. 216)
One atom of each set of equivalent atoms:
Nd (0.000, 0.000, 0.000) x4
Er (0.250, 0.250, 0.250) x4
Th (0.000, 0.000, 0.500) x4
Tl (0.250, 0.250, 0.750) x4

Summary:
- Formation energy: 0.02 eV per atom
- Fermi-level density of states: 5.7 states/eV/f.u.
- Crystal system: cubic
- Spin magnetization: 0.00 Bohr magnetons per cell
- Volume: 484 Å³ per cell

A relaxed structure of La2Ce3PrTe6. Source: the Alexandria database, functional PBE-GGA.

a b c (Å): 19.803 4.502 9.120
angles (deg): 90.00 104.00 90.00
Space group C2/m (No. 12)
One atom of each set of equivalent atoms:
La (0.166, 0.000, 0.332) x4
Ce (0.000, 0.500, 0.500) x2
Ce (0.167, 0.000, 0.834) x4
Pr (0.000, 0.500, 0.000) x2
Te (0.002, 0.000, 0.749) x4
Te (0.166, 0.500, 0.586) x4
Te (0.167, 0.500, 0.080) x4

Summary:
- Fermi-level density of states: 23.9 states/eV/f.u.
- Crystal system: monoclinic
- Spin magnetization: 7.34 Bohr magnetons per cell
- Volume: 789 Å³ per cell
- Energy relative to the elements, uncorrected: -1.46 eV/atom

A relaxed structure of BaAcGe. Source: the Alexandria database, functional PBE-GGA.

a b c (Å): 7.802 7.802 7.802
angles (deg): 90.00 90.00 90.00
Space group F-43m (No. 216)
One atom of each set of equivalent atoms:
Ba (0.000, 0.000, 0.000) x4
Ac (0.000, 0.000, 0.500) x4
Ge (0.250, 0.250, 0.250) x4

Summary:
- Formation energy: -0.37 eV per atom
- Fermi-level density of states: 3.5 states/eV/f.u.
- Crystal system: cubic
- Spin magnetization: 0.09 Bohr magnetons per cell
- Volume: 475 Å³ per cell
- Energy relative to the lowest polymorph listed for this composition: 53 meV/atom

A relaxed structure of Sc4Ag2HgAu. Source: the Alexandria database, functional PBE-GGA.

a b c (Å): 4.8769 4.8769 23.8437
angles (deg): 90.00 90.00 120.00
Space group R-3m (No. 166, hexagonal axes)
One atom of each set of equivalent atoms:
Sc (0.0000, 0.0000, 0.1218) x6
Sc (0.0000, 0.0000, 0.3721) x6
Ag (0.0000, 0.0000, 0.2471) x6
Hg (0.0000, 0.0000, 0.5000) x3
Au (0.0000, 0.0000, 0.0000) x3

Summary:
- Formation energy: -0.45 eV per atom
- Fermi-level density of states: 7.1 states/eV/f.u.
- Crystal system: trigonal
- Spin magnetization: 0.00 Bohr magnetons per cell
- Volume: 491 Å³ per cell

A relaxed structure of ScHgGe3. Source: the Alexandria database, functional PBE-GGA.

a b c (Å): 5.205 5.205 5.205
angles (deg): 90.00 90.00 90.00
Space group Pm-3m (No. 221)
One atom of each set of equivalent atoms:
Sc (0.000, 0.000, 0.000) x1
Hg (0.500, 0.500, 0.500) x1
Ge (0.000, 0.000, 0.500) x3

Summary:
- Formation energy: 0.48 eV per atom
- Fermi-level density of states: 4.8 states/eV/f.u.
- Crystal system: cubic
- Spin magnetization: 0.00 Bohr magnetons per cell
- Volume: 141 Å³ per cell
- Energy relative to the lowest polymorph listed for this composition: 0 meV/atom

A relaxed structure of LaTm2Rh. Source: the Alexandria database, functional PBE-GGA.

a b c (Å): 3.463 3.463 8.833
angles (deg): 90.00 90.00 90.00
Space group P4/mmm (No. 123)
One atom of each set of equivalent atoms:
La (0.000, 0.000, 0.000) x1
Tm (0.500, 0.500, 0.318) x2
Rh (0.000, 0.000, 0.500) x1

Summary:
- Formation energy: -0.47 eV per atom
- Fermi-level density of states: 4.8 states/eV/f.u.
- Crystal system: tetragonal
- Spin magnetization: 0.00 Bohr magnetons per cell
- Volume: 106 Å³ per cell
- Energy relative to the lowest polymorph listed for this composition: 60 meV/atom

A relaxed structure of AcCo3GeB. Source: the Alexandria database, functional PBE-GGA.

a b c (Å): 5.628 11.579 5.650
angles (deg): 90.00 90.00 90.00
Space group Cmcm (No. 63)
One atom of each set of equivalent atoms:
Ac (0.000, 0.247, 0.250) x4
Co (0.000, 0.312, 0.750) x4
Co (0.235, 0.500, 0.000) x8
Ge (0.000, 0.107, 0.750) x4
B (0.000, 0.479, 0.750) x4

Summary:
- Formation energy: -0.25 eV per atom
- Fermi-level density of states: 3.5 states/eV/f.u.
- Crystal system: orthorhombic
- Spin magnetization: 0.00 Bohr magnetons per cell
- Volume: 368 Å³ per cell

A relaxed structure of AgSe. Source: the Alexandria database, functional PBE-GGA.

a b c (Å): 8.179 8.179 8.179
angles (deg): 90.00 90.00 90.00
Space group I-43m (No. 217)
One atom of each set of equivalent atoms:
Ag (0.156, 0.156, 0.844) x8
Se (0.166, 0.166, 0.166) x8

Summary:
- Fermi-level density of states: 2.1 states/eV/f.u.
- Crystal system: cubic
- Spin magnetization: 0.00 Bohr magnetons per cell
- Volume: 547 Å³ per cell
- Energy relative to the elements, uncorrected: 0.21 eV/atom

A relaxed structure of LaV2CoAg. Source: the Alexandria database, functional PBE-GGA.

a b c (Å): 4.816 4.816 4.806
angles (deg): 90.00 90.00 90.00
Space group P4/mmm (No. 123)
One atom of each set of equivalent atoms:
La (0.000, 0.000, 0.000) x1
V (0.000, 0.500, 0.500) x2
Co (0.500, 0.500, 0.000) x1
Ag (0.500, 0.500, 0.500) x1

Summary:
- Formation energy: 1.33 eV per atom
- Fermi-level density of states: 11.0 states/eV/f.u.
- Crystal system: tetragonal
- Spin magnetization: 2.16 Bohr magnetons per cell
- Volume: 111 Å³ per cell